A plane-wave DFT calculation with PBE was carried out for KTe4 after structural relaxation.

Results
D(E_F) = 9.9 states/eV/f.u.
raw formation energy = 0.9799 eV/atom
SG = Pm-3m, No. 221
magnetic moment = 0.000 μB per atom
polymorph energy (0 for the lowest one) = 115.7 kJ per mole of atoms
uncorrected energy = -8.76 eV/f.u.
density = 4.3 Mg/m³

a = 5.978 Å, b = 5.978 Å, c = 5.978 Å
α = 90.00°, β = 90.00°, γ = 90.00°
Atoms (fractional coordinates):
K: 0.000 0.000 0.000
Te: 0.000 0.000 0.500
Te: 0.000 0.500 0.000
Te: 0.500 0.000 0.000
Te: 0.500 0.500 0.500